(1)
Density functional theory data (PBE) for an optimized crystal structure of HoNp2S6.

SG: No. 147
Total moment (μB per formula unit): 5.02
Offset from the most stable computed form (meV/atom): 0
V (Å³/f.u.): 185.3
Final energy (eV per atom): -7.451

Unit cell a=7.145 b=7.145 c=4.192 alpha=90.00 beta=90.00 gamma=120.00
Fractional coordinates of all 9 atoms:
Ho1 0.000 0.000 0.000
Np1 0.333 0.667 0.785
Np2 0.667 0.333 0.215
S1 0.081 0.698 0.261
S2 0.302 0.383 0.261
S3 0.383 0.081 0.739
S4 0.617 0.919 0.261
S5 0.698 0.617 0.739
S6 0.919 0.302 0.739

=====

(2)
Density functional theory data (PBE) for an optimized crystal structure of HoNp3S4.

SG: No. 65
Total moment (μB per formula unit): 12.64
V (Å³/f.u.): 167.8
Final energy (eV per atom): -9.019

Unit cell a=6.755 b=6.755 c=3.900 alpha=90.00 beta=90.00 gamma=109.44
Fractional coordinates of all 8 atoms:
Ho1 0.000 0.000 0.000
Np1 0.000 0.500 0.500
Np2 0.500 0.000 0.500
Np3 0.500 0.500 0.000
S1 0.250 0.250 0.500
S2 0.251 0.749 0.000
S3 0.749 0.251 0.000
S4 0.750 0.750 0.500

=====

(3)
Density functional theory data (PBE) for an optimized crystal structure of Ho3NpS4.

SG: No. 166
Total moment (μB per formula unit): 4.31
V (Å³/f.u.): 166.2
Final energy (eV per atom): -7.241

Unit cell a=12.831 b=12.831 c=12.831 alpha=17.47 beta=17.47 gamma=17.47
Fractional coordinates of all 8 atoms:
Ho1 0.000 0.000 0.000
Ho2 0.249 0.249 0.249
Ho3 0.751 0.751 0.751
Np1 0.500 0.500 0.500
S1 0.125 0.125 0.125
S2 0.375 0.375 0.375
S3 0.625 0.625 0.625
S4 0.875 0.875 0.875

=====

(4)
Density functional theory data (PBE) for an optimized crystal structure of Ho2NpS6.

SG: No. 136
Total moment (μB per formula unit): 1.01
V (Å³/f.u.): 236.2
Final energy (eV per atom): -6.644

Unit cell a=6.286 b=6.286 c=11.957 alpha=90.00 beta=90.00 gamma=90.00
Fractional coordinates of all 18 atoms:
Ho1 0.000 0.000 0.165
Ho2 0.000 0.000 0.835
Ho3 0.500 0.500 0.335
Ho4 0.500 0.500 0.665
Np1 0.000 0.000 0.500
Np2 0.500 0.500 0.000
S1 0.192 0.192 0.342
S2 0.192 0.192 0.658
S3 0.209 0.209 0.000
S4 0.291 0.709 0.500
S5 0.308 0.692 0.158
S6 0.308 0.692 0.842
S7 0.692 0.308 0.158
S8 0.692 0.308 0.842
S9 0.709 0.291 0.500
S10 0.791 0.791 0.000
S11 0.808 0.808 0.342
S12 0.808 0.808 0.658

=====

(5)
Density functional theory data (PBE) for an optimized crystal structure of Ho2NpS.

SG: No. 166
Total moment (μB per formula unit): 5.29
V (Å³/f.u.): 109.9
Final energy (eV per atom): -6.948

Unit cell a=10.258 b=10.258 c=10.258 alpha=19.95 beta=19.95 gamma=19.95
Fractional coordinates of all 4 atoms:
Ho1 0.110 0.110 0.110
Ho2 0.890 0.890 0.890
Np1 0.000 0.000 0.000
S1 0.500 0.500 0.500

=====

(6)
Density functional theory data (PBE) for an optimized crystal structure of HoNp2S5.

SG: No. 62
Total moment (μB per formula unit): 7.00
V (Å³/f.u.): 168.6
Final energy (eV per atom): -7.947

Unit cell a=11.661 b=7.895 c=7.327 alpha=90.00 beta=90.00 gamma=90.00
Fractional coordinates of all 32 atoms:
Ho1 0.007 0.250 0.076
Ho2 0.493 0.750 0.576
Ho3 0.507 0.250 0.424
Ho4 0.993 0.750 0.924
Np1 0.181 0.001 0.515
Np2 0.181 0.499 0.515
Np3 0.319 0.501 0.015
Np4 0.319 0.999 0.015
Np5 0.681 0.001 0.985
Np6 0.681 0.499 0.985
Np7 0.819 0.501 0.485
Np8 0.819 0.999 0.485
S1 0.000 0.250 0.465
S2 0.000 0.750 0.535
S3 0.103 0.542 0.163
S4 0.103 0.958 0.163
S5 0.188 0.250 0.825
S6 0.216 0.750 0.798
S7 0.284 0.250 0.298
S8 0.312 0.750 0.325
S9 0.397 0.042 0.663
S10 0.397 0.458 0.663
S11 0.500 0.250 0.035
S12 0.500 0.750 0.965
S13 0.603 0.542 0.337
S14 0.603 0.958 0.337
S15 0.688 0.250 0.675
S16 0.716 0.750 0.702
S17 0.784 0.250 0.202
S18 0.812 0.750 0.175
S19 0.897 0.042 0.837
S20 0.897 0.458 0.837

=====

(7)
Density functional theory data (PBE) for an optimized crystal structure of Ho5NpS6.

SG: No. 12
Total moment (μB per formula unit): 4.60
V (Å³/f.u.): 249.7
Final energy (eV per atom): -6.926

Unit cell a=6.737 b=6.737 c=6.744 alpha=99.63 beta=99.63 gamma=120.05
Fractional coordinates of all 12 atoms:
Ho1 0.000 0.000 0.000
Ho2 0.168 0.832 0.500
Ho3 0.332 0.668 0.000
Ho4 0.668 0.332 0.000
Ho5 0.832 0.168 0.500
Np1 0.500 0.500 0.500
S1 0.081 0.416 0.249
S2 0.248 0.248 0.752
S3 0.416 0.081 0.249
S4 0.584 0.919 0.751
S5 0.752 0.752 0.248
S6 0.919 0.584 0.751

=====

(8)
Density functional theory data (PBE) for an optimized crystal structure of Ho2NpS3.

SG: No. 139
Total moment (μB per formula unit): 4.45
V (Å³/f.u.): 125.2
Final energy (eV per atom): -7.541

Unit cell a=8.734 b=8.734 c=8.734 alpha=154.30 beta=154.30 gamma=36.67
Fractional coordinates of all 6 atoms:
Ho1 0.164 0.164 0.000
Ho2 0.836 0.836 0.000
Np1 0.500 0.500 0.000
S1 0.000 0.000 0.000
S2 0.330 0.330 0.000
S3 0.670 0.670 0.000

=====

(9)
Density functional theory data (PBE) for an optimized crystal structure of Ho5Np3S12.

SG: No. 230
Total moment (μB per formula unit): 12.00
V (Å³/f.u.): 521.2
Final energy (eV per atom): -7.175

Unit cell a=13.939 b=13.939 c=13.939 alpha=109.47 beta=109.47 gamma=109.47
Fractional coordinates of all 80 atoms:
Ho1 0.000 0.000 0.000
Ho2 0.000 0.000 0.500
Ho3 0.000 0.500 0.000
Ho4 0.000 0.500 0.500
Ho5 0.125 0.750 0.875
Ho6 0.125 0.875 0.250
Ho7 0.250 0.125 0.875
Ho8 0.250 0.625 0.375
Ho9 0.375 0.250 0.625
Ho10 0.375 0.625 0.750
Ho11 0.500 0.000 0.000
Ho12 0.500 0.000 0.500
Ho13 0.500 0.500 0.000
Ho14 0.500 0.500 0.500
Ho15 0.625 0.375 0.250
Ho16 0.625 0.750 0.375
Ho17 0.750 0.375 0.625
Ho18 0.750 0.875 0.125
Ho19 0.875 0.125 0.750
Ho20 0.875 0.250 0.125
Np1 0.125 0.250 0.375
Np2 0.125 0.375 0.750
Np3 0.250 0.375 0.125
Np4 0.250 0.875 0.625
Np5 0.375 0.125 0.250
Np6 0.375 0.750 0.125
Np7 0.625 0.250 0.875
Np8 0.625 0.875 0.750
Np9 0.750 0.125 0.375
Np10 0.750 0.625 0.875
Np11 0.875 0.625 0.250
Np12 0.875 0.750 0.625
S1 0.048 0.222 0.131
S2 0.048 0.326 0.917
S3 0.083 0.631 0.409
S4 0.083 0.952 0.674
S5 0.091 0.722 0.674
S6 0.091 0.869 0.417
S7 0.131 0.048 0.222
S8 0.131 0.583 0.909
S9 0.174 0.222 0.591
S10 0.174 0.452 0.583
S11 0.222 0.131 0.048
S12 0.222 0.591 0.174
S13 0.278 0.326 0.909
S14 0.278 0.452 0.369
S15 0.326 0.909 0.278
S16 0.326 0.917 0.048
S17 0.369 0.278 0.452
S18 0.369 0.591 0.917
S19 0.409 0.083 0.631
S20 0.409 0.826 0.778
S21 0.417 0.091 0.869
S22 0.417 0.826 0.548
S23 0.452 0.369 0.278
S24 0.452 0.583 0.174
S25 0.548 0.417 0.826
S26 0.548 0.631 0.722
S27 0.583 0.174 0.452
S28 0.583 0.909 0.131
S29 0.591 0.174 0.222
S30 0.591 0.917 0.369
S31 0.631 0.409 0.083
S32 0.631 0.722 0.548
S33 0.674 0.083 0.952
S34 0.674 0.091 0.722
S35 0.722 0.548 0.631
S36 0.722 0.674 0.091
S37 0.778 0.409 0.826
S38 0.778 0.869 0.952
S39 0.826 0.548 0.417
S40 0.826 0.778 0.409
S41 0.869 0.417 0.091
S42 0.869 0.952 0.778
S43 0.909 0.131 0.583
S44 0.909 0.278 0.326
S45 0.917 0.048 0.326
S46 0.917 0.369 0.591
S47 0.952 0.674 0.083
S48 0.952 0.778 0.869

=====

(10)
Density functional theory data (PBE) for an optimized crystal structure of Ho3NpS6.

SG: No. 11
Total moment (μB per formula unit): 4.00
V (Å³/f.u.): 230.8
Final energy (eV per atom): -7.041

Unit cell a=11.024 b=3.937 c=11.222 alpha=90.00 beta=108.61 gamma=90.00
Fractional coordinates of all 20 atoms:
Ho1 0.066 0.250 0.167
Ho2 0.180 0.750 0.503
Ho3 0.341 0.250 0.917
Ho4 0.659 0.750 0.083
Ho5 0.820 0.250 0.497
Ho6 0.934 0.750 0.833
Np1 0.452 0.250 0.310
Np2 0.548 0.750 0.690
S1 0.022 0.250 0.387
S2 0.103 0.250 0.937
S3 0.243 0.750 0.275
S4 0.307 0.750 0.751
S5 0.386 0.250 0.539
S6 0.418 0.750 0.099
S7 0.582 0.250 0.901
S8 0.614 0.750 0.461
S9 0.693 0.250 0.249
S10 0.757 0.250 0.725
S11 0.897 0.750 0.063
S12 0.978 0.750 0.613

=====

(11)
Density functional theory data (PBE) for an optimized crystal structure of Ho2NpSc3S6.

SG: No. 12
Total moment (μB per formula unit): 4.74
V (Å³/f.u.): 231.6
Final energy (eV per atom): -7.314

Unit cell a=8.494 b=8.494 c=7.620 alpha=103.14 beta=103.14 gamma=25.67
Fractional coordinates of all 12 atoms:
Ho1 0.163 0.163 0.328
Ho2 0.837 0.837 0.672
Np1 0.500 0.500 0.000
Sc1 0.165 0.165 0.839
Sc2 0.500 0.500 0.500
Sc3 0.835 0.835 0.161
S1 0.004 0.004 0.740
S2 0.328 0.328 0.922
S3 0.335 0.335 0.408
S4 0.665 0.665 0.592
S5 0.672 0.672 0.078
S6 0.996 0.996 0.260

=====

(12)
Density functional theory data (PBE) for an optimized crystal structure of Ho2NpScS6.

SG: No. 146
Total moment (μB per formula unit): 4.00
V (Å³/f.u.): 245.9
Final energy (eV per atom): -7.112

Unit cell a=7.277 b=7.277 c=7.277 alpha=55.79 beta=55.79 gamma=55.79
Fractional coordinates of all 10 atoms:
Ho1 0.000 0.000 0.000
Ho2 0.496 0.496 0.496
Np1 0.198 0.198 0.198
Sc1 0.694 0.694 0.694
S1 0.080 0.416 0.796
S2 0.305 0.893 0.602
S3 0.416 0.796 0.080
S4 0.602 0.305 0.893
S5 0.796 0.080 0.416
S6 0.893 0.602 0.305

=====

Q: What is the V in the fifth record?
A: 109.9 Å³/f.u.

=====

Q: Look up the total moment of the fifth one.
A: 5.29 μB per formula unit

=====

Q: The highest final energy belongs to which entry?
A: Ho2NpS6